First-principles (PBE) data for Rb3Ge2Te4 after structural relaxation, as listed in Alexandria via LeMat-Bulk.

a = 9.485 Å, b = 9.485 Å, c = 9.089 Å
α = 97.44°, β = 97.44°, γ = 79.12°
Positions (direct):
Rb: 0.111 0.889 0.750
Rb: 0.227 0.487 0.376
Rb: 0.487 0.227 0.876
Rb: 0.513 0.773 0.124
Rb: 0.773 0.513 0.624
Rb: 0.889 0.111 0.250
Ge: 0.082 0.323 0.920
Ge: 0.323 0.082 0.420
Ge: 0.677 0.918 0.580
Ge: 0.918 0.677 0.080
Te: 0.128 0.230 0.611
Te: 0.197 0.572 0.984
Te: 0.230 0.128 0.111
Te: 0.428 0.803 0.516
Te: 0.572 0.197 0.484
Te: 0.770 0.872 0.889
Te: 0.803 0.428 0.016
Te: 0.872 0.770 0.389

Results
formation energy from raw total energies = -600.8 meV per atom
size of the total moment = 0.000 μB/atom
SG = No. 15
mass density = 3.83 g cm⁻³
density of states at the Fermi level = 3.33 states/eV/cell

---

First-principles (PBE) data for Rb2Ge3Te5 after structural relaxation, as listed in Alexandria via LeMat-Bulk.

a = 8.842 Å, b = 8.842 Å, c = 11.373 Å
α = 117.30°, β = 117.30°, γ = 28.77°
Positions (direct):
Rb: 0.178 0.178 0.239
Rb: 0.822 0.822 0.761
Ge: 0.000 0.000 0.500
Ge: 0.453 0.453 0.200
Ge: 0.547 0.547 0.800
Te: 0.142 0.142 0.785
Te: 0.404 0.404 0.560
Te: 0.500 0.500 0.000
Te: 0.596 0.596 0.440
Te: 0.858 0.858 0.215

Results
formation energy from raw total energies = -407.7 meV per atom
size of the total moment = 0.000 μB/atom
SG = No. 12
mass density = 4.52 g cm⁻³
density of states at the Fermi level = 1.59 states/eV/cell

---

First-principles (PBE) data for RbGe2Te2 after structural relaxation, as listed in Alexandria via LeMat-Bulk.

a = 8.151 Å, b = 8.151 Å, c = 9.428 Å
α = 111.15°, β = 111.15°, γ = 38.92°
Positions (direct):
Rb: 0.137 0.863 0.750
Rb: 0.863 0.137 0.250
Ge: 0.024 0.388 0.088
Ge: 0.388 0.024 0.588
Ge: 0.612 0.976 0.412
Ge: 0.976 0.612 0.912
Te: 0.229 0.490 0.353
Te: 0.490 0.229 0.853
Te: 0.510 0.771 0.147
Te: 0.771 0.510 0.647

Results
formation energy from raw total energies = -311.1 meV per atom
size of the total moment = 0.000 μB/atom
SG = No. 15
mass density = 4.44 g cm⁻³
density of states at the Fermi level = 2.46 states/eV/cell

---

Question: What is the formula in the second record?
Answer: Rb2Ge3Te5